(1)
Computed, not measured: a relaxed structure of MnGeS2Cl at the PBE level of DFT.

Properties
- theoretical density (g/cm³) = 3.69
- VASP energy (eV/atom) = -4.856
- energy above the lowest structure with this stoichiometry (eV per atom) = 0.0000

a = 4.695 Å, b = 4.695 Å, c = 4.643 Å
α = 90.00°, β = 90.00°, γ = 90.00°
Space group P4/mmm (No. 123)
One atom of each set of equivalent atoms:
Mn: 0.000 0.000 0.000
Ge: 0.500 0.500 0.500
S: 0.000 0.500 0.000
Cl: 0.000 0.000 0.500

***

(2)
Computed, not measured: a relaxed structure of MnGeS2Cl at the PBE level of DFT.

Properties
- theoretical density (g/cm³) = 3.35
- VASP energy (eV/atom) = -4.570
- energy above the lowest structure with this stoichiometry (eV per atom) = 0.2861

a = 4.835 Å, b = 4.835 Å, c = 4.821 Å
α = 90.00°, β = 90.00°, γ = 90.00°
Space group P4/mmm (No. 123)
One atom of each set of equivalent atoms:
Mn: 0.000 0.000 0.000
Ge: 0.500 0.500 0.500
S: 0.000 0.500 0.500
Cl: 0.500 0.500 0.000

***

(3)
Computed, not measured: a relaxed structure of ScMn2GeCl at the PBE level of DFT.

Properties
- theoretical density (g/cm³) = 3.66
- VASP energy (eV/atom) = -5.956

a = 4.747 Å, b = 4.747 Å, c = 5.290 Å
α = 90.00°, β = 90.00°, γ = 90.00°
Space group P4/mmm (No. 123)
One atom of each set of equivalent atoms:
Sc: 0.000 0.000 0.000
Mn: 0.000 0.500 0.500
Ge: 0.000 0.000 0.500
Cl: 0.500 0.500 0.000